Compound: HfAlSi
Source: Alexandria via LeMat-Bulk
Functional: PBE-GGA
Structure: optimized geometry

Output
As for the crystal system: tetragonal. The value obtained for the total energy is -6.616 eV per atom. The calculation puts the uncorrected formation energy at -0.243 eV per atom. As for the space group: I4mm, No. 107.

POSCAR file:
```
HfAlSi
1.0
3.220 0.000 0.000
0.000 3.220 0.000
0.000 0.000 9.870
Hf Al Si
2 2 2
Direct
0.000 0.000 0.000 Hf
0.500 0.500 0.500 Hf
0.000 0.000 0.314 Al
0.500 0.500 0.814 Al
0.000 0.000 0.677 Si
0.500 0.500 0.177 Si
```

Compound: TaCoBr
Source: Alexandria via LeMat-Bulk
Functional: PBE-GGA
Structure: optimized geometry

Output
As for the crystal system: cubic. The value obtained for the total energy is -6.011 eV per atom. The polymorph energy (0 for the lowest one) is 0.706 eV per atom. The calculation puts the uncorrected formation energy at 0.866 eV per atom. As for the space group: F-43m, No. 216.

POSCAR file:
```
TaCoBr
1.0
6.065 0.000 0.000
0.000 6.065 0.000
0.000 0.000 6.065
Ta Co Br
4 4 4
Direct
0.000 0.000 0.000 Ta
0.000 0.500 0.500 Ta
0.500 0.000 0.500 Ta
0.500 0.500 0.000 Ta
0.250 0.250 0.750 Co
0.250 0.750 0.250 Co
0.750 0.250 0.250 Co
0.750 0.750 0.750 Co
0.250 0.250 0.250 Br
0.250 0.750 0.750 Br
0.750 0.250 0.750 Br
0.750 0.750 0.250 Br
```

Compound: CeScTcRh
Source: Alexandria via LeMat-Bulk
Functional: PBE-GGA
Structure: optimized geometry

Output
As for the crystal system: cubic. The value obtained for the total energy is -7.968 eV per atom. The formation energy is -1.9 eV per formula unit. As for the space group: F-43m, No. 216.

POSCAR file:
```
CeScTcRh
1.0
6.702 0.000 0.000
0.000 6.702 0.000
0.000 0.000 6.702
Ce Sc Tc Rh
4 4 4 4
Direct
0.000 0.000 0.000 Ce
0.000 0.500 0.500 Ce
0.500 0.000 0.500 Ce
0.500 0.500 0.000 Ce
0.000 0.000 0.500 Sc
0.000 0.500 0.000 Sc
0.500 0.000 0.000 Sc
0.500 0.500 0.500 Sc
0.250 0.250 0.750 Tc
0.250 0.750 0.250 Tc
0.750 0.250 0.250 Tc
0.750 0.750 0.750 Tc
0.250 0.250 0.250 Rh
0.250 0.750 0.750 Rh
0.750 0.250 0.750 Rh
0.750 0.750 0.250 Rh
```

Compound: Zn2AgHg
Source: Alexandria via LeMat-Bulk
Functional: PBE-GGA
Structure: optimized geometry

Output
As for the crystal system: orthorhombic. The value obtained for the total energy is -1.323 eV per atom. The formation energy is 0.4 eV per formula unit. As for the space group: Cmmm, No. 65.

POSCAR file:
```
Zn2AgHg
1.0
3.001 0.000 0.000
0.000 5.311 0.000
0.000 0.000 9.289
Zn Ag Hg
4 2 2
Direct
0.000 0.000 0.238 Zn
0.000 0.000 0.762 Zn
0.500 0.500 0.238 Zn
0.500 0.500 0.762 Zn
0.000 0.500 0.000 Ag
0.500 0.000 0.000 Ag
0.000 0.500 0.500 Hg
0.500 0.000 0.500 Hg
```

Compound: Fe2SnI
Source: Alexandria via LeMat-Bulk
Functional: PBE-GGA
Structure: optimized geometry

Output
As for the crystal system: tetragonal. The value obtained for the total energy is -4.831 eV per atom. The polymorph energy (0 for the lowest one) is 0.018 eV per atom. The calculation puts the uncorrected formation energy at 0.789 eV per atom. As for the space group: I-42d, No. 122.

POSCAR file:
```
Fe2SnI
1.0
6.724 0.000 0.000
0.000 6.724 0.000
0.000 0.000 8.670
Fe Sn I
8 4 4
Direct
0.249 0.250 0.125 Fe
0.250 0.749 0.375 Fe
0.250 0.751 0.875 Fe
0.251 0.250 0.625 Fe
0.749 0.750 0.625 Fe
0.750 0.249 0.875 Fe
0.750 0.251 0.375 Fe
0.751 0.750 0.125 Fe
0.000 0.000 0.500 Sn
0.000 0.500 0.750 Sn
0.500 0.000 0.250 Sn
0.500 0.500 0.000 Sn
0.000 0.000 0.000 I
0.000 0.500 0.250 I
0.500 0.000 0.750 I
0.500 0.500 0.500 I
```

Compound: AlCr2Br
Source: Alexandria via LeMat-Bulk
Functional: PBE-GGA
Structure: optimized geometry

Output
As for the crystal system: monoclinic. The value obtained for the total energy is -5.668 eV per atom. The polymorph energy (0 for the lowest one) is 0.311 eV per atom. The calculation puts the uncorrected formation energy at 0.497 eV per atom. As for the space group: Pm, No. 6.

POSCAR file:
```
AlCr2Br
1.0
3.128 0.000 0.000
0.000 4.909 0.000
-0.021 0.000 4.896
Al Cr Br
1 2 1
Direct
0.000 0.000 0.000 Al
0.506 0.000 0.477 Cr
0.531 0.500 0.049 Cr
0.368 0.500 0.549 Br
```